No. 1
Er2CO after structural relaxation, computed with PBE.

a = 6.025 Å, b = 6.038 Å, c = 7.753 Å
α = 104.91°, β = 104.85°, γ = 109.87°
Sites, in units of the cell vectors:
Er: 0.566 0.308 0.124
C: 0.064 0.314 0.627
Er: 0.696 0.937 0.375
O: 0.687 0.437 0.874
O: 0.562 0.812 0.624
Er: 0.434 0.692 0.876
Er: 0.821 0.563 0.625
C: 0.188 0.938 0.877
O: 0.313 0.563 0.126
C: 0.936 0.686 0.373
Er: 0.304 0.063 0.625
Er: 0.942 0.184 0.876
O: 0.438 0.188 0.376
Er: 0.058 0.816 0.124
C: 0.812 0.062 0.123
Er: 0.179 0.437 0.375

Properties
N(E_F) (states/eV per atom): 0.16
Total magnetization (μB per formula unit): 0.00
E above lowest polymorph (meV per atom): 0
Formation energy (no corrections) (eV/atom): -1.787
SG: C2/c

No. 2
Er5CO5 after structural relaxation, computed with PBE.

a = 4.716 Å, b = 5.895 Å, c = 6.776 Å
α = 107.13°, β = 90.00°, γ = 113.58°
Sites, in units of the cell vectors:
C: 0.000 0.000 0.000
O: 0.680 0.359 0.326
O: 0.000 0.000 0.500
O: 0.320 0.641 0.147
Er: 0.155 0.310 0.821
O: 0.320 0.641 0.674
Er: 0.164 0.329 0.334
Er: 0.836 0.671 0.666
Er: 0.500 0.000 0.000
O: 0.680 0.359 0.853
Er: 0.845 0.690 0.179

Properties
N(E_F) (states/eV per atom): 0.24
Total magnetization (μB per formula unit): 0.00
Formation energy (no corrections) (eV/atom): -2.752
SG: C2/m

No. 3
ErPaCO after structural relaxation, computed with PBE.

a = 4.054 Å, b = 4.054 Å, c = 8.302 Å
α = 90.00°, β = 90.00°, γ = 90.00°
Sites, in units of the cell vectors:
Er: 0.000 0.500 0.383
Er: 0.500 0.000 0.617
O: 0.000 0.000 0.500
O: 0.500 0.500 0.500
Pa: 0.000 0.000 0.000
C: 0.500 0.000 0.159
Pa: 0.500 0.500 0.000
C: 0.000 0.500 0.841

Properties
N(E_F) (states/eV per atom): 0.33
Total magnetization (μB per formula unit): 0.00
Formation energy (no corrections) (eV/atom): -1.321
SG: P4/nmm

No. 4
Er3PbCO after structural relaxation, computed with PBE.

a = 3.691 Å, b = 8.695 Å, c = 8.923 Å
α = 110.94°, β = 90.00°, γ = 90.00°
Sites, in units of the cell vectors:
Er: 0.250 0.526 0.855
Er: 0.250 0.819 0.449
O: 0.250 0.085 0.608
Er: 0.750 0.474 0.145
Er: 0.250 0.140 0.864
C: 0.250 0.668 0.139
Er: 0.750 0.181 0.551
Pb: 0.750 0.773 0.742
Pb: 0.250 0.227 0.258
O: 0.750 0.915 0.392
C: 0.750 0.332 0.861
Er: 0.750 0.860 0.136

Properties
N(E_F) (states/eV per atom): 0.29
Total magnetization (μB per formula unit): 0.00
Formation energy (no corrections) (eV/atom): -1.303
SG: P2_1/m